Crystalline BaLaFeO4 at its relaxed geometry, computed with PBE+U.

Mass density (kg/m3): 6211
Total DFT energy (no corrections) (eV per atom): -7.1301

Structure (POSCAR):
```
BaLaFeO4
1.0
7.256 0.095 0.000
5.007 5.253 0.000
-6.132 -2.674 2.813
O La Ba Fe
4 1 1 1
Direct
0.490 0.990 0.500 O
0.839 0.839 0.000 O
0.990 0.490 0.500 O
0.189 0.189 0.000 O
0.359 0.359 0.000 La
0.644 0.644 0.000 Ba
0.988 0.988 0.000 Fe
```


Crystalline Ba3LaFe2O8 at its relaxed geometry, computed with PBE+U.

Mass density (kg/m3): 5191
Total DFT energy (no corrections) (eV per atom): -6.6516
D(E_F) (states/eV/cell): 9.43

Structure (POSCAR):
```
Ba3LaFe2O8
1.0
6.142 0.000 0.000
-3.071 5.319 0.000
0.000 0.000 7.741
Fe O Ba La
2 8 3 1
Direct
0.333 0.667 0.207 Fe
0.667 0.333 0.793 Fe
0.667 0.333 0.026 O
0.828 0.172 0.691 O
0.333 0.667 0.974 O
0.172 0.828 0.309 O
0.172 0.344 0.309 O
0.828 0.656 0.691 O
0.656 0.828 0.309 O
0.344 0.172 0.691 O
0.667 0.333 0.340 Ba
0.000 0.000 0.000 Ba
0.333 0.667 0.660 Ba
0.000 0.000 0.500 La
```


Crystalline Ba5SrLa2Fe4O15 at its relaxed geometry, computed with PBE+U.

Mass density (kg/m3): 5760
Total DFT energy (no corrections) (eV per atom): -6.7376
Distance to the lowest polymorph of the same formula (kJ per mole of atoms): 4.1
D(E_F) (states/eV/cell): 0.00

Structure (POSCAR):
```
Ba5SrLa2Fe4O15
1.0
11.900 0.008 0.007
-5.929 10.317 0.007
0.014 0.024 7.114
O Ba La Fe Sr
30 10 4 8 2
Direct
0.666 0.601 0.468 O
0.413 0.825 0.341 O
0.501 0.256 0.158 O
0.329 0.935 0.962 O
0.601 0.666 0.968 O
0.603 0.932 0.961 O
0.415 0.584 0.335 O
0.502 0.748 0.652 O
0.584 0.415 0.835 O
0.396 0.332 0.471 O
0.332 0.396 0.971 O
0.256 0.501 0.658 O
0.067 0.394 0.983 O
0.394 0.067 0.483 O
0.751 0.255 0.159 O
0.175 0.587 0.332 O
0.066 0.672 0.983 O
0.672 0.066 0.483 O
0.893 0.089 0.222 O
0.097 0.197 0.726 O
0.825 0.413 0.841 O
0.255 0.751 0.659 O
0.932 0.603 0.461 O
0.587 0.175 0.832 O
0.935 0.329 0.462 O
0.807 0.897 0.725 O
0.897 0.807 0.225 O
0.748 0.502 0.152 O
0.089 0.893 0.722 O
0.197 0.097 0.226 O
0.177 0.824 0.337 Ba
0.652 0.830 0.329 Ba
0.001 0.001 0.491 Ba
0.352 0.173 0.838 Ba
0.670 0.334 0.528 Ba
0.824 0.177 0.837 Ba
0.334 0.670 0.028 Ba
0.830 0.652 0.829 Ba
0.173 0.352 0.338 Ba
0.001 0.001 0.991 Ba
0.521 0.478 0.162 La
0.479 0.957 0.667 La
0.478 0.521 0.662 La
0.957 0.479 0.167 La
0.360 0.179 0.336 Fe
0.820 0.643 0.330 Fe
0.334 0.666 0.486 Fe
0.666 0.334 0.986 Fe
0.179 0.360 0.836 Fe
0.818 0.178 0.333 Fe
0.178 0.818 0.833 Fe
0.643 0.820 0.830 Fe
0.522 0.045 0.164 Sr
0.045 0.522 0.664 Sr
```


Crystalline Ba5SrLa2Fe4O15 at its relaxed geometry, computed with PBE+U.

Mass density (kg/m3): 5692
Total DFT energy (no corrections) (eV per atom): -6.7801
Distance to the lowest polymorph of the same formula (kJ per mole of atoms): 0.0

Structure (POSCAR):
```
Ba5SrLa2Fe4O15
1.0
-0.653 -10.368 5.953
9.564 -4.253 5.815
-4.050 7.033 11.769
O Ba La Fe Sr
60 20 8 16 4
Direct
0.081 0.806 0.613 O
0.833 0.583 0.168 O
0.665 0.933 0.983 O
0.394 0.678 0.493 O
0.497 0.255 0.576 O
0.934 0.669 0.981 O
0.583 0.833 0.668 O
0.752 0.753 0.325 O
0.328 0.609 0.727 O
0.606 0.332 0.727 O
0.247 0.501 0.576 O
0.253 0.240 0.083 O
0.806 0.081 0.113 O
0.170 0.415 0.418 O
0.240 0.253 0.583 O
0.600 0.073 0.741 O
0.070 0.597 0.736 O
0.421 0.417 0.916 O
0.609 0.328 0.227 O
0.803 0.088 0.612 O
0.332 0.606 0.227 O
0.669 0.934 0.481 O
0.584 0.834 0.164 O
0.411 0.176 0.414 O
0.331 0.059 0.239 O
0.907 0.900 0.367 O
0.415 0.170 0.918 O
0.892 0.193 0.863 O
0.597 0.070 0.236 O
0.391 0.940 0.986 O
0.088 0.803 0.112 O
0.757 0.500 0.331 O
0.255 0.497 0.076 O
0.933 0.665 0.483 O
0.176 0.411 0.914 O
0.099 0.091 0.620 O
0.501 0.247 0.076 O
0.059 0.331 0.739 O
0.754 0.502 0.829 O
0.417 0.421 0.416 O
0.391 0.940 0.479 O
0.193 0.892 0.363 O
0.678 0.394 0.993 O
0.193 0.897 0.866 O
0.900 0.907 0.867 O
0.500 0.757 0.831 O
0.587 0.587 0.662 O
0.068 0.324 0.245 O
0.502 0.754 0.329 O
0.091 0.099 0.120 O
0.753 0.752 0.825 O
0.676 0.394 0.493 O
0.834 0.584 0.664 O
0.587 0.587 0.162 O
0.394 0.676 0.993 O
0.897 0.193 0.366 O
0.073 0.600 0.241 O
0.940 0.391 0.979 O
0.940 0.391 0.486 O
0.324 0.068 0.745 O
0.650 0.178 0.418 Ba
0.000 0.001 0.999 Ba
0.350 0.827 0.668 Ba
0.822 0.831 0.663 Ba
0.999 0.998 0.749 Ba
0.998 0.999 0.249 Ba
0.831 0.822 0.163 Ba
0.337 0.334 0.763 Ba
0.664 0.670 0.509 Ba
0.001 0.000 0.499 Ba
0.653 0.177 0.915 Ba
0.349 0.823 0.169 Ba
0.177 0.653 0.415 Ba
0.334 0.337 0.263 Ba
0.178 0.650 0.918 Ba
0.827 0.350 0.168 Ba
0.175 0.177 0.920 Ba
0.670 0.664 0.009 Ba
0.823 0.349 0.669 Ba
0.177 0.175 0.420 Ba
0.477 0.043 0.082 La
0.521 0.959 0.335 La
0.521 0.959 0.830 La
0.479 0.482 0.581 La
0.959 0.521 0.835 La
0.043 0.477 0.582 La
0.482 0.479 0.081 La
0.959 0.521 0.330 La
0.822 0.820 0.416 Fe
0.176 0.179 0.672 Fe
0.668 0.667 0.737 Fe
0.358 0.822 0.919 Fe
0.821 0.358 0.916 Fe
0.180 0.639 0.165 Fe
0.176 0.642 0.665 Fe
0.639 0.180 0.665 Fe
0.820 0.822 0.916 Fe
0.337 0.334 0.990 Fe
0.667 0.668 0.237 Fe
0.822 0.358 0.419 Fe
0.642 0.176 0.165 Fe
0.358 0.821 0.416 Fe
0.334 0.337 0.490 Fe
0.179 0.176 0.172 Fe
0.524 0.521 0.330 Sr
0.521 0.524 0.830 Sr
0.474 0.048 0.581 Sr
0.048 0.474 0.081 Sr
```


Crystalline BaLaTiFeO6 at its relaxed geometry, computed with PBE+U.

Mass density (kg/m3): 6478
Total DFT energy (no corrections) (eV per atom): -7.4898
D(E_F) (states/eV/cell): 5.18

Structure (POSCAR):
```
BaLaTiFeO6
1.0
5.567 0.000 0.000
2.783 4.821 0.000
2.783 1.607 4.545
O La Fe Ti Ba
6 1 1 1 1
Direct
0.250 0.750 0.250 O
0.750 0.750 0.250 O
0.250 0.250 0.750 O
0.750 0.250 0.250 O
0.750 0.250 0.750 O
0.250 0.750 0.750 O
0.250 0.250 0.250 La
0.000 0.000 0.000 Fe
0.500 0.500 0.500 Ti
0.750 0.750 0.750 Ba
```